Record 1
Computed, not measured: a relaxed Rb3CuI4 crystal at the PBE level of DFT.

abc: 5.295 11.126 14.419
angles: 90.00 90.00 90.00
Last column: magnetic moment on the atom in μB.
Positions (direct):
Rb 0.535 0.333 0.338  0.00
Rb 0.081 0.868 0.500  0.00
Rb 0.035 0.667 0.162  0.00
Rb 0.035 0.667 0.838  0.00
Rb 0.535 0.333 0.662  0.00
Rb 0.581 0.132 0.000  0.00
Cu 0.174 0.393 0.000  0.07
Cu 0.674 0.607 0.500  0.07
I 0.520 0.554 0.000  0.01
I 0.048 0.304 0.156  0.01
I 0.048 0.304 0.844  0.01
I 0.573 0.088 0.500  0.00
I 0.548 0.696 0.344  0.01
I 0.020 0.446 0.500  0.01
I 0.548 0.696 0.656  0.01
I 0.073 0.912 0.000  0.00

Computed properties:
ΔE to the lowest computed polymorph (eV/atom): 0.000
Magnetization (μB per formula unit): 0.1
Space group: Pmn2_1, No. 31
Electronic total energy (eV/atom): -2.759

Record 2
Computed, not measured: a relaxed YZr3 crystal at the PBE level of DFT.

abc: 3.276 10.906 3.276
angles: 98.64 60.00 98.64
Positions (direct):
Zr 0.500 0.500 0.500
Zr 0.754 0.263 0.754
Zr 0.246 0.737 0.246
Y 0.000 0.000 0.000

Computed properties:
ΔE to the lowest computed polymorph (eV/atom): 0.050
Magnetization (μB per formula unit): 0.0
Space group: R-3m, No. 166
Energy of formation (eV/atom): 0.10
Electronic total energy (eV/atom): -7.924

Record 3
Computed, not measured: a relaxed TbNdNp2Sb4 crystal at the PBE level of DFT.

abc: 4.419 7.648 7.717
angles: 109.31 90.00 90.00
Last column: magnetic moment on the atom in μB.
Positions (direct):
Sb 0.500 0.256 0.256  -0.07
Sb 0.000 0.747 0.253  -0.07
Sb 0.000 0.253 0.747  -0.07
Sb 0.500 0.744 0.744  -0.07
Nd 0.000 0.000 0.000  0.00
Np 0.500 0.000 0.500  3.90
Np 0.000 0.500 0.500  3.85
Tb 0.500 0.500 0.000  -0.03

Computed properties:
Magnetization (μB per formula unit): 7.9
Space group: P2/m, No. 10
Electronic total energy (eV/atom): -7.142

Record 4
Computed, not measured: a relaxed KFeAu3 crystal at the PBE level of DFT.

abc: 5.022 5.022 5.022
angles: 90.00 90.00 90.00
Last column: magnetic moment on the atom in μB.
Positions (direct):
Au 0.000 0.000 0.500  0.14
Au 0.000 0.500 0.000  0.10
Au 0.500 0.000 0.000  0.04
K 0.500 0.500 0.500  0.00
Fe 0.000 0.000 0.000  2.94

Computed properties:
ΔE to the lowest computed polymorph (eV/atom): 0.000
Magnetization (μB per formula unit): 3.3
Space group: Pm-3m, No. 221
Energy of formation (eV/atom): 0.20
Electronic total energy (eV/atom): -3.683

Record 5
Computed, not measured: a relaxed KCrAs2 crystal at the PBE level of DFT.

abc: 4.914 4.914 4.914
angles: 60.00 60.00 60.00
Last column: magnetic moment on the atom in μB.
Positions (direct):
K 0.000 0.000 0.000  -0.01
Cr 0.500 0.500 0.500  3.51
As 0.250 0.250 0.250  -0.15
As 0.750 0.750 0.750  -0.15

Computed properties:
ΔE to the lowest computed polymorph (eV/atom): 0.502
Magnetization (μB per formula unit): 3.4
Space group: Fm-3m, No. 225
Energy of formation (eV/atom): 0.32
Electronic total energy (eV/atom): -4.687

Q: Among the records above, which one has the lowest electronic total energy?
A: YZr3